Below is Ba2SnPb3 after structural relaxation, with properties calculated at the PBE level.

a = 12.8629 Å, b = 5.3881 Å, c = 8.2105 Å
α = 90.00°, β = 128.93°, γ = 90.00°
Space group Cm (No. 8)
One atom of each set of equivalent atoms:
Ba 0.0000 0.0000 0.0000 [2 per cell]
Ba 0.1120 0.0000 0.6157 [2 per cell]
Sn 0.3924 0.0000 0.5931 [2 per cell]
Pb 0.2109 0.5000 0.0112 [2 per cell]
Pb 0.2232 0.5000 0.4169 [2 per cell]
Pb 0.3957 0.0000 0.2125 [2 per cell]

Results
**E above lowest polymorph**: 0.00 eV/f.u.

***

Below is Ba3Sn3Pb2 after structural relaxation, with properties calculated at the PBE level.

a = 5.4045 Å, b = 12.8651 Å, c = 18.0542 Å
α = 90.00°, β = 90.00°, γ = 90.00°
Space group Cmcm (No. 63)
One atom of each set of equivalent atoms:
Ba 0.0000 0.0757 0.2500 [4 per cell]
Ba 0.0000 0.3600 0.0958 [8 per cell]
Sn 0.0000 0.0814 0.0526 [8 per cell]
Sn 0.0000 0.2054 0.7500 [4 per cell]
Pb 0.0000 0.3464 0.6137 [8 per cell]

***

Below is BaSn2Pb after structural relaxation, with properties calculated at the PBE level.

a = 5.3035 Å, b = 5.3035 Å, c = 17.5362 Å
α = 90.00°, β = 90.00°, γ = 120.00°
Space group R-3m (No. 166, hexagonal axes)
One atom of each set of equivalent atoms:
Ba 0.0000 0.0000 0.0000 [3 per cell]
Sn 0.0000 0.0000 0.2151 [6 per cell]
Pb 0.0000 0.0000 0.5000 [3 per cell]

***

Below is Ba3SnPb2 after structural relaxation, with properties calculated at the PBE level.

a = 14.2179 Å, b = 5.0857 Å, c = 14.1917 Å
α = 90.00°, β = 90.00°, γ = 90.00°
Space group Pnma (No. 62)
One atom of each set of equivalent atoms:
Ba 0.0704 0.2500 0.1134 [4 per cell]
Ba 0.1152 0.7500 0.5510 [4 per cell]
Ba 0.1992 0.2500 0.7986 [4 per cell]
Sn 0.1466 0.2500 0.3469 [4 per cell]
Pb 0.0249 0.7500 0.3137 [4 per cell]
Pb 0.2022 0.7500 0.9992 [4 per cell]

***

Below is Ba4Sn5Pb2 after structural relaxation, with properties calculated at the PBE level.

a = 8.2758 Å, b = 5.2547 Å, c = 9.5344 Å
α = 90.00°, β = 91.05°, γ = 90.00°
Space group P2/m (No. 10)
One atom of each set of equivalent atoms:
Ba 0.2335 0.0000 0.1314 [2 per cell]
Ba 0.2531 0.0000 0.6267 [2 per cell]
Sn 0.1265 0.5000 0.8896 [2 per cell]
Sn 0.4523 0.5000 0.3434 [2 per cell]
Sn 0.5000 0.5000 0.0000 [1 per cell]
Pb 0.0916 0.5000 0.3652 [2 per cell]

***

Below is Ba2SnPb5 after structural relaxation, with properties calculated at the PBE level.

a = 7.1605 Å, b = 7.1605 Å, c = 10.8467 Å
α = 90.00°, β = 90.00°, γ = 90.00°
Space group I4mm (No. 107)
One atom of each set of equivalent atoms:
Ba 0.0000 0.5000 0.0000 [4 per cell]
Sn 0.0000 0.0000 0.4381 [2 per cell]
Pb 0.0000 0.0000 0.9430 [2 per cell]
Pb 0.2450 0.2450 0.2461 [8 per cell]

Results
**E above lowest polymorph**: 0.00 eV/f.u.

***

Below is BaSn2Pb2 after structural relaxation, with properties calculated at the PBE level.

a = 5.1129 Å, b = 5.1129 Å, c = 13.6842 Å
α = 90.00°, β = 90.00°, γ = 90.00°
Space group I4/mmm (No. 139)
One atom of each set of equivalent atoms:
Ba 0.0000 0.0000 0.0000 [2 per cell]
Sn 0.0000 0.0000 0.3942 [4 per cell]
Pb 0.0000 0.5000 0.2500 [4 per cell]

Results
**E above lowest polymorph**: 0.00 eV/f.u.

***

Below is Ba2Sn3Pb5 after structural relaxation, with properties calculated at the PBE level.

a = 13.8886 Å, b = 14.4321 Å, c = 7.2618 Å
α = 90.00°, β = 90.00°, γ = 90.00°
Space group Ibam (No. 72)
One atom of each set of equivalent atoms:
Ba 0.2485 0.1259 0.0000 [8 per cell]
Sn 0.0000 0.0000 0.2500 [4 per cell]
Sn 0.1423 0.3757 0.0000 [8 per cell]
Pb 0.0000 0.2525 0.2500 [8 per cell]
Pb 0.0000 0.5000 0.2500 [4 per cell]
Pb 0.1423 0.1218 0.5000 [8 per cell]

***

M_tot: 0.00; 0.00; 0.00; 0.00; 0.00; 0.00; 0.00; 0.00 (μB per cell)
DFT formation energy: -0.464; -0.482; -0.319; -0.550; -0.501; -0.381; -0.309; -0.272 (eV/atom)
Energy: -3.63; -3.63; -3.73; -3.41; -3.69; -3.68; -3.78; -3.71 (eV/atom)